A relaxed structure of ZrScMn2O6. Source: Alexandria, functional GGA+U.

```
ZrScMn2O6
1.0
5.319 0.000 0.000
2.652 4.617 0.000
2.639 1.529 4.785
Zr Sc Mn O
1 1 2 6
Cartesian
0.000 0.000 0.000
5.321 3.065 2.527
2.660 1.538 0.817
7.962 4.609 2.917
4.404 4.489 3.930
3.464 3.305 1.625
4.514 1.569 3.927
6.432 4.558 1.615
6.984 3.133 3.941
6.043 1.353 1.621
```

Computed properties:
Spin magnetization = 0.700 μB/atom

---

A relaxed structure of MnSe2O. Source: Alexandria, functional GGA+U.

```
MnSe2O
1.0
1.988 1.148 6.437
-1.988 1.148 6.437
0.000 -2.295 6.437
Mn Se O
1 2 1
Cartesian
0.000 0.000 0.000
0.000 0.000 7.749
0.000 0.000 11.561
0.000 0.000 9.655
```

Computed properties:
Spin magnetization = 0.879 μB/atom

---

A relaxed structure of Mn3Se2O. Source: Alexandria, functional GGA+U.

```
Mn3Se2O
1.0
3.123 -5.892 0.000
3.123 5.892 0.000
-0.550 0.000 12.649
Mn Se O
12 8 4
Cartesian
2.711 5.672 9.487
0.943 1.146 6.752
2.102 2.004 1.614
1.218 -1.146 0.427
2.711 1.135 9.487
3.870 2.004 4.711
1.827 -2.004 7.938
2.986 -1.135 3.162
4.479 1.146 12.222
3.595 -2.004 11.035
4.754 -1.146 5.898
2.986 -5.672 3.162
1.234 2.433 4.424
0.930 1.296 11.658
1.205 -1.296 5.333
0.959 -2.433 10.749
4.737 2.433 1.901
4.491 1.296 7.316
4.766 -1.296 0.991
4.463 -2.433 8.225
1.612 0.039 2.085
1.337 -0.039 8.410
4.359 0.039 4.239
4.084 -0.039 10.564
```

Computed properties:
Spin magnetization = 2.500 μB/atom

---

A relaxed structure of Mn2SeO6. Source: Alexandria, functional GGA+U.

```
Mn2SeO6
1.0
4.574 0.000 0.000
0.000 4.574 0.000
0.000 0.000 9.025
Mn Se O
4 2 12
Cartesian
0.000 0.000 1.509
0.000 0.000 7.516
2.287 2.287 3.004
2.287 2.287 6.021
0.000 0.000 4.513
2.287 2.287 0.000
0.881 0.881 0.000
0.882 0.882 2.999
0.882 0.882 6.026
1.405 3.169 1.513
1.406 3.168 4.513
1.405 3.169 7.512
3.169 1.405 1.513
3.168 1.406 4.513
3.169 1.405 7.512
3.693 3.693 0.000
3.693 3.693 2.999
3.693 3.693 6.026
```

Computed properties:
Spin magnetization = 0.685 μB/atom

---

So what do the calculations give for DFT total energy? Going down the list: -8.4121, -4.9852, -6.6548, -6.3784 eV/atom.